The following is a DFT calculation (GGA+U) of a geometry-optimized HgMo2RhO8 structure.

Structure (POSCAR):
```
HgMo2RhO8
1.0
-3.665 -3.539 1.946
0.474 -1.155 5.309
-4.795 5.651 1.896
Hg Mo Rh O
1 2 1 8
Cartesian
-2.398 2.826 0.948 Hg
-3.034 -1.817 5.021 Mo
-4.954 2.774 4.129 Mo
0.000 0.000 0.000 Rh
-6.489 1.744 4.128 O
-2.736 -3.415 5.786 O
-4.251 -0.925 5.887 O
-3.736 1.882 3.263 O
-5.252 4.371 3.364 O
-4.351 2.975 5.866 O
-3.636 -2.019 3.284 O
-1.498 -0.787 5.022 O
```

Computed properties:
* Fermi-level density of states: 0.259 states/eV/atom
* energy: -75.0 eV for the cell shown
* space group: C2/m (12)
* ρ: 5.0 Mg/m³